Entry 1:
Below is a geometry-optimized ScAl2S4 structure, with properties calculated at the PBE level.

Lattice parameters (Å, degrees): 7.2925 7.2925 7.2925 121.25 119.54 89.32
With the nearest neighbours (Å) after each atom.
Atoms (fractional coordinates):
Sc: 0.5000 0.0000 0.0000  6 S 2.57-2.58
Sc: 0.5000 0.5000 0.5000  6 S 2.57-2.58
Al: 0.0000 0.0000 0.0000  6 S 2.47-2.49
Al: 0.1219 0.3719 0.7500  4 S 2.30-2.33
Al: 0.5000 0.0000 0.5000  6 S 2.47-2.49
Al: 0.8781 0.6281 0.2500  4 S 2.30-2.33
S: 0.2385 0.2384 0.0001  2 Al 2.30-2.47, 2 Sc 2.57
S: 0.2516 0.2363 0.4847  3 Al 2.33-2.49, 1 Sc 2.58
S: 0.2516 0.7669 0.0153  3 Al 2.33-2.49, 1 Sc 2.58
S: 0.2617 0.7616 0.5001  2 Al 2.30-2.47, 2 Sc 2.57
S: 0.7383 0.2384 0.4999  2 Al 2.30-2.47, 2 Sc 2.57
S: 0.7484 0.2331 0.9847  3 Al 2.33-2.49, 1 Sc 2.58
S: 0.7484 0.7637 0.5153  3 Al 2.33-2.49, 1 Sc 2.58
S: 0.7615 0.7616 0.9999  2 Al 2.30-2.47, 2 Sc 2.57

Computed properties:
**Spin magnetization**: 0.0 μB per cell
**Formation energy from raw total energies**: -1.22 eV/atom
**E above lowest polymorph**: 0 meV per atom
**Symmetry**: Imma (74)
**E**: -77.799 eV per cell



Entry 2:
Below is a geometry-optimized Sc3Al5S12 structure, with properties calculated at the PBE level.

Lattice parameters (Å, degrees): 12.6705 12.6705 12.6705 109.47 109.47 109.47
With the nearest neighbours (Å) after each atom.
Atoms (fractional coordinates):
Sc: 0.1250 0.2500 0.3750  8 S 2.78-2.82
Sc: 0.1250 0.3750 0.7500  8 S 2.78-2.82
Sc: 0.2500 0.3750 0.1250  8 S 2.78-2.82
Sc: 0.2500 0.8750 0.6250  8 S 2.78-2.82
Sc: 0.3750 0.1250 0.2500  8 S 2.78-2.82
Sc: 0.3750 0.7500 0.1250  8 S 2.78-2.82
Sc: 0.6250 0.2500 0.8750  8 S 2.78-2.82
Sc: 0.6250 0.8750 0.7500  8 S 2.78-2.82
Sc: 0.7500 0.1250 0.3750  8 S 2.78-2.82
Sc: 0.7500 0.6250 0.8750  8 S 2.78-2.82
Sc: 0.8750 0.6250 0.2500  8 S 2.78-2.82
Sc: 0.8750 0.7500 0.6250  8 S 2.78-2.82
Al: 0.0000 0.0000 0.0000  6 S 2.41
Al: 0.0000 0.0000 0.5000  6 S 2.41
Al: 0.0000 0.5000 0.0000  6 S 2.41
Al: 0.0000 0.5000 0.5000  6 S 2.41
Al: 0.1250 0.7500 0.8750  4 S 2.24
Al: 0.1250 0.8750 0.2500  4 S 2.24
Al: 0.2500 0.1250 0.8750  4 S 2.24
Al: 0.2500 0.6250 0.3750  4 S 2.24
Al: 0.3750 0.2500 0.6250  4 S 2.24
Al: 0.3750 0.6250 0.7500  4 S 2.24
Al: 0.5000 0.0000 0.0000  6 S 2.41
Al: 0.5000 0.0000 0.5000  6 S 2.41
Al: 0.5000 0.5000 0.0000  6 S 2.41
Al: 0.5000 0.5000 0.5000  6 S 2.41
Al: 0.6250 0.3750 0.2500  4 S 2.24
Al: 0.6250 0.7500 0.3750  4 S 2.24
Al: 0.7500 0.3750 0.6250  4 S 2.24
Al: 0.7500 0.8750 0.1250  4 S 2.24
Al: 0.8750 0.1250 0.7500  4 S 2.24
Al: 0.8750 0.2500 0.1250  4 S 2.24
S: 0.0358 0.2119 0.1257  2 Al 2.24-2.41
S: 0.0358 0.3239 0.9101  2 Al 2.24-2.41
S: 0.0862 0.7119 0.6761  2 Al 2.24-2.41
S: 0.0862 0.8743 0.4101  2 Al 2.24-2.41
S: 0.0899 0.6257 0.4138  2 Al 2.24-2.41
S: 0.0899 0.9642 0.6761  2 Al 2.24-2.41
S: 0.1257 0.0358 0.2119  2 Al 2.24-2.41
S: 0.1257 0.5899 0.9138  2 Al 2.24-2.41
S: 0.1761 0.2119 0.5862  2 Al 2.24-2.41
S: 0.1761 0.4642 0.5899  2 Al 2.24-2.41
S: 0.2119 0.1257 0.0358  2 Al 2.24-2.41
S: 0.2119 0.5862 0.1761  2 Al 2.24-2.41
S: 0.2881 0.3239 0.9138  2 Al 2.24-2.41
S: 0.2881 0.4642 0.3743  2 Al 2.24-2.41
S: 0.3239 0.9101 0.0358  2 Al 2.24-2.41
S: 0.3239 0.9138 0.2881  2 Al 2.24-2.41
S: 0.3743 0.2881 0.4642  2 Al 2.24-2.41
S: 0.3743 0.5862 0.9101  2 Al 2.24-2.41
S: 0.4101 0.0862 0.8743  2 Al 2.24-2.41
S: 0.4101 0.8239 0.5358  2 Al 2.24-2.41
S: 0.4138 0.0899 0.6257  2 Al 2.24-2.41
S: 0.4138 0.8239 0.7881  2 Al 2.24-2.41
S: 0.4642 0.3743 0.2881  2 Al 2.24-2.41
S: 0.4642 0.5899 0.1761  2 Al 2.24-2.41
S: 0.5358 0.4101 0.8239  2 Al 2.24-2.41
S: 0.5358 0.6257 0.7119  2 Al 2.24-2.41
S: 0.5862 0.1761 0.2119  2 Al 2.24-2.41
S: 0.5862 0.9101 0.3743  2 Al 2.24-2.41
S: 0.5899 0.1761 0.4642  2 Al 2.24-2.41
S: 0.5899 0.9138 0.1257  2 Al 2.24-2.41
S: 0.6257 0.4138 0.0899  2 Al 2.24-2.41
S: 0.6257 0.7119 0.5358  2 Al 2.24-2.41
S: 0.6761 0.0862 0.7119  2 Al 2.24-2.41
S: 0.6761 0.0899 0.9642  2 Al 2.24-2.41
S: 0.7119 0.5358 0.6257  2 Al 2.24-2.41
S: 0.7119 0.6761 0.0862  2 Al 2.24-2.41
S: 0.7881 0.4138 0.8239  2 Al 2.24-2.41
S: 0.7881 0.8743 0.9642  2 Al 2.24-2.41
S: 0.8239 0.5358 0.4101  2 Al 2.24-2.41
S: 0.8239 0.7881 0.4138  2 Al 2.24-2.41
S: 0.8743 0.4101 0.0862  2 Al 2.24-2.41
S: 0.8743 0.9642 0.7881  2 Al 2.24-2.41
S: 0.9101 0.0358 0.3239  2 Al 2.24-2.41
S: 0.9101 0.3743 0.5862  2 Al 2.24-2.41
S: 0.9138 0.1257 0.5899  2 Al 2.24-2.41
S: 0.9138 0.2881 0.3239  2 Al 2.24-2.41
S: 0.9642 0.6761 0.0899  2 Al 2.24-2.41
S: 0.9642 0.7881 0.8743  2 Al 2.24-2.41

Computed properties:
**Spin magnetization**: 0.0 μB per cell
**Formation energy from raw total energies**: -1.30 eV/atom
**Symmetry**: Ia-3d (230)
**E**: -452.666 eV per cell



Entry 3:
Below is a geometry-optimized Sc3AlS6 structure, with properties calculated at the PBE level.

Lattice parameters (Å, degrees): 8.1546 8.1546 6.1764 90.00 90.00 102.77
With the nearest neighbours (Å) after each atom.
Atoms (fractional coordinates):
Sc: 0.0950 0.9050 0.5000  6 S 2.60-2.65
Sc: 0.2180 0.4132 0.5978  7 S 2.55-2.84
Sc: 0.4132 0.2180 0.0978  7 S 2.55-2.84
Sc: 0.5868 0.7820 0.5978  7 S 2.55-2.84
Sc: 0.7820 0.5868 0.0978  7 S 2.55-2.84
Sc: 0.9050 0.0950 0.0000  6 S 2.60-2.65
Al: 0.2957 0.7043 0.1305  4 S 2.25-2.28
Al: 0.7043 0.2957 0.6305  4 S 2.25-2.28
S: 0.0577 0.6049 0.3175  1 Al 2.25
S: 0.1298 0.1974 0.2973  4 Sc 2.55-2.65
S: 0.1974 0.1298 0.7973  4 Sc 2.55-2.65
S: 0.2833 0.7167 0.7671  1 Al 2.25
S: 0.3951 0.9423 0.3175  1 Al 2.25
S: 0.4593 0.5407 0.2796  1 Al 2.28
S: 0.5407 0.4593 0.7796  1 Al 2.28
S: 0.6049 0.0577 0.8175  1 Al 2.25
S: 0.7167 0.2833 0.2671  1 Al 2.25
S: 0.8026 0.8702 0.2973  4 Sc 2.55-2.65
S: 0.8702 0.8026 0.7973  4 Sc 2.55-2.65
S: 0.9423 0.3951 0.8175  1 Al 2.25

Computed properties:
**Spin magnetization**: 0.0 μB per cell
**Formation energy from raw total energies**: -1.63 eV/atom
**Symmetry**: Cmc2_1 (36)
**E**: -127.687 eV per cell



The lowest E belongs to which entry?
Sc3Al5S12